Mn8Re: optimized geometry, PBE-GGA.

abc: 5.6428 5.6428 5.6428
angles: 95.64 95.64 143.45
Last column: nearest neighbours and their distance in Å.
Element x y z (fractional)
Mn1 0.0000 0.6587 0.6587  11 Mn 2.40-2.55, 1 Re 2.59
Mn2 0.3254 0.6746 0.0000  10 Mn 2.40-2.65, 2 Re 2.58
Mn3 0.6746 0.6746 0.3491  10 Mn 2.40-2.65, 2 Re 2.58
Mn4 0.3254 0.3254 0.6509  10 Mn 2.40-2.65, 2 Re 2.58
Mn5 0.3413 0.0000 0.3413  11 Mn 2.40-2.55, 1 Re 2.59
Mn6 0.6587 0.0000 0.6587  11 Mn 2.40-2.55, 1 Re 2.59
Mn7 0.0000 0.3413 0.3413  11 Mn 2.40-2.55, 1 Re 2.59
Mn8 0.6746 0.3254 0.0000  10 Mn 2.40-2.65, 2 Re 2.58
Re1 0.0000 0.0000 0.0000  12 Mn 2.58-2.59

Fermi-level density of states	13.0	states/eV/cell
calculated density	10.2	g cm⁻³
calculated volume	11.3	A^3/atom
calculated formation energy	0.805	eV per formula unit
total DFT energy (no corrections)	-9.444	eV per atom

=====

LaCd3Pt3: optimized geometry, PBE-GGA.

abc: 7.3307 7.3307 7.3307
angles: 90.00 90.00 90.00
Last column: nearest neighbours and their distance in Å.
Element x y z (fractional)
Pt1 0.5000 0.0000 0.2500  4 Cd 2.59
Pt2 0.7500 0.5000 0.0000  4 Cd 2.59
Pt3 0.0000 0.7500 0.5000  4 Cd 2.59
Pt4 0.0000 0.2500 0.5000  4 Cd 2.59
Pt5 0.2500 0.5000 0.0000  4 Cd 2.59
Pt6 0.5000 0.0000 0.7500  4 Cd 2.59
Cd1 0.5000 0.2500 0.0000  4 Pt 2.59
Cd2 0.2500 0.0000 0.5000  4 Pt 2.59
Cd3 0.7500 0.0000 0.5000  4 Pt 2.59
Cd4 0.0000 0.5000 0.7500  4 Pt 2.59
Cd5 0.0000 0.5000 0.2500  4 Pt 2.59
Cd6 0.5000 0.7500 0.0000  4 Pt 2.59
La1 0.5000 0.5000 0.5000  12 Cd 4.10, 12 Pt 4.10
La2 0.0000 0.0000 0.0000  12 Cd 4.10, 12 Pt 4.10

Fermi-level density of states	10.7	states/eV/cell
calculated density	8.9	g cm⁻³
calculated volume	28.1	A^3/atom
relative energy among the computed polymorphs	16.53	kcal/mol of atoms
calculated formation energy	1.060	eV per formula unit
total DFT energy (no corrections)	-3.534	eV per atom

=====

Mn2FeOs: optimized geometry, PBE-GGA.

abc: 3.5336 3.5336 8.6435
angles: 78.21 78.21 90.00
Last column: nearest neighbours and their distance in Å.
Element x y z (fractional)
Mn1 0.3750 0.4279 0.7500  2 Mn 2.25, 2 Fe 2.35, 2 Os 2.49
Mn2 0.1779 0.6250 0.2500  2 Mn 2.25, 2 Fe 2.35, 2 Os 2.49
Mn3 0.5721 0.1250 0.2500  2 Mn 2.25, 2 Fe 2.35, 2 Os 2.49
Mn4 0.8750 0.8221 0.7500  2 Mn 2.25, 2 Fe 2.35, 2 Os 2.49
Os1 0.0000 0.0000 0.0000  4 Mn 2.49, 4 Fe 2.50
Os2 0.7500 0.2500 0.5000  4 Mn 2.49, 4 Fe 2.50
Fe1 0.2500 0.7500 0.5000  4 Mn 2.35, 4 Os 2.50
Fe2 0.5000 0.5000 0.0000  4 Mn 2.35, 4 Os 2.50

Fermi-level density of states	12.2	states/eV/cell
calculated density	11.4	g cm⁻³
calculated volume	12.9	A^3/atom
calculated formation energy	2.748	eV per formula unit
total DFT energy (no corrections)	-8.821	eV per atom

=====

Pm3Pr2Tm7: optimized geometry, PBE-GGA.

abc: 3.5244 6.3406 17.9476
angles: 75.74 90.00 90.00
Last column: nearest neighbours and their distance in Å.
Element x y z (fractional)
Tm1 0.5000 0.0623 0.1637  1 Pr 3.50, 3 Pm 3.51-3.73, 8 Tm 3.52-3.63
Tm2 0.0000 0.0000 0.0000  8 Tm 3.48-3.53, 4 Pm 3.63
Tm3 0.5000 0.7542 0.5005  2 Tm 3.11-3.23, 2 Pr 3.43-3.45
Tm4 0.0000 0.4355 0.8379  7 Tm 3.48-3.63, 2 Pr 3.51, 3 Pm 3.51-3.74
Tm5 0.0000 0.5645 0.1621  7 Tm 3.48-3.63, 2 Pr 3.51, 3 Pm 3.51-3.74
Tm6 0.5000 0.9377 0.8363  1 Pr 3.50, 3 Pm 3.51-3.73, 8 Tm 3.52-3.63
Tm7 0.5000 0.2458 0.4995  2 Tm 3.11-3.23, 2 Pr 3.43-3.45
Pm1 0.5000 0.5000 0.0000  10 Tm 3.51-3.63, 2 Pm 3.52
Pm2 0.0000 0.8862 0.6586  2 Pm 3.52, 7 Tm 3.61-3.74, 4 Pr 3.61-3.66
Pm3 0.0000 0.1138 0.3414  2 Pm 3.52, 7 Tm 3.61-3.74, 4 Pr 3.61-3.66
Pr1 0.5000 0.6206 0.3252  5 Tm 3.43-3.51, 2 Pr 3.52, 4 Pm 3.61-3.66
Pr2 0.5000 0.3794 0.6748  5 Tm 3.43-3.51, 2 Pr 3.52, 4 Pm 3.61-3.66

Fermi-level density of states	17.6	states/eV/cell
calculated density	8.1	g cm⁻³
calculated volume	32.4	A^3/atom
relative energy among the computed polymorphs	0.05	kcal/mol of atoms
calculated formation energy	1.120	eV per formula unit
total DFT energy (no corrections)	-4.499	eV per atom

=====

Rb3Sr2NpSe6: optimized geometry, PBE-GGA.

abc: 7.6995 7.6995 8.3650
angles: 98.89 98.89 119.95
Last column: nearest neighbours and their distance in Å.
Element x y z (fractional)
Se1 0.3671 0.0665 0.1994  1 Np 2.81, 2 Sr 3.14
Se2 0.6329 0.9335 0.8006  1 Np 2.81, 2 Sr 3.14
Se3 0.2317 0.2317 0.8000  1 Np 2.80
Se4 0.7683 0.7683 0.2000  1 Np 2.80
Se5 0.0665 0.3671 0.1994  1 Np 2.81, 2 Sr 3.14
Se6 0.9335 0.6329 0.8006  1 Np 2.81, 2 Sr 3.14
Rb1 0.8278 0.1722 0.5000  6 Se 3.43-3.65
Rb2 0.5000 0.5000 0.5000  6 Se 3.42-3.71
Rb3 0.1722 0.8278 0.5000  6 Se 3.43-3.65
Sr1 0.3338 0.6662 0.0000  6 Se 3.14
Sr2 0.6662 0.3338 0.0000  6 Se 3.14
Np1 0.0000 0.0000 0.0000  6 Se 2.80-2.81

Fermi-level density of states	8.2	states/eV/cell
energy relative to the elements, uncorrected	-1466	meV/atom
calculated density	4.6	g cm⁻³
calculated volume	34.1	A^3/atom
total DFT energy (no corrections)	-4.809	eV per atom

=====

Dy2MgSn4: optimized geometry, PBE-GGA.

abc: 4.3929 4.3929 9.9484
angles: 90.00 90.00 90.00
Last column: nearest neighbours and their distance in Å.
Element x y z (fractional)
Sn1 0.0000 0.5000 0.8076  2 Mg 2.91, 4 Dy 3.16
Sn2 0.0000 0.0000 0.5000  4 Sn 3.11, 4 Dy 3.31
Sn3 0.5000 0.0000 0.1924  2 Mg 2.91, 4 Dy 3.16
Sn4 0.5000 0.5000 0.5000  4 Sn 3.11, 4 Dy 3.31
Dy1 0.5000 0.0000 0.7494  8 Sn 3.16-3.31, 2 Mg 3.32
Dy2 0.0000 0.5000 0.2506  8 Sn 3.16-3.31, 2 Mg 3.32
Mg1 0.5000 0.5000 0.0000  4 Sn 2.91

Fermi-level density of states	5.4	states/eV/cell
calculated density	7.1	g cm⁻³
calculated volume	27.4	A^3/atom
calculated formation energy	-2.478	eV per formula unit
total DFT energy (no corrections)	-4.184	eV per atom

=====

Sc2NbTc5B2: optimized geometry, PBE-GGA.

abc: 3.1750 9.4908 9.4908
angles: 90.00 90.00 90.00
Last column: nearest neighbours and their distance in Å.
Element x y z (fractional)
Sc1 0.0000 0.8241 0.6759  3 B 2.68-2.89, 10 Tc 2.85-2.99
Sc2 0.0000 0.3241 0.8241  3 B 2.68-2.89, 10 Tc 2.85-2.99
Sc3 0.0000 0.1759 0.3241  3 B 2.68-2.89, 10 Tc 2.85-2.99
Sc4 0.0000 0.6759 0.1759  3 B 2.68-2.89, 10 Tc 2.85-2.99
Tc1 0.5000 0.0000 0.5000  4 B 2.30
Tc2 0.5000 0.2835 0.5682  2 B 2.26
Tc3 0.5000 0.5682 0.7165  2 B 2.26
Tc4 0.5000 0.0682 0.7835  2 B 2.26
Tc5 0.5000 0.9318 0.2165  2 B 2.26
Tc6 0.5000 0.7835 0.9318  2 B 2.26
Tc7 0.5000 0.4318 0.2835  2 B 2.26
Tc8 0.5000 0.5000 0.0000  4 B 2.30
Tc9 0.5000 0.2165 0.0682  2 B 2.26
Tc10 0.5000 0.7165 0.4318  2 B 2.26
Nb1 0.0000 0.5000 0.5000  8 Tc 2.68
Nb2 0.0000 0.0000 0.0000  8 Tc 2.68
B1 0.0000 0.8759 0.3759  6 Tc 2.26-2.30
B2 0.0000 0.6241 0.8759  6 Tc 2.26-2.30
B3 0.0000 0.3759 0.1241  6 Tc 2.26-2.30
B4 0.0000 0.1241 0.6241  6 Tc 2.26-2.30

Fermi-level density of states	24.7	states/eV/cell
calculated density	8.1	g cm⁻³
calculated volume	14.3	A^3/atom
calculated formation energy	-2.956	eV per formula unit
total DFT energy (no corrections)	-9.087	eV per atom

=====

Pm3Pr12Ho5: optimized geometry, PBE-GGA.

abc: 16.4824 16.4824 16.4824
angles: 109.47 109.47 109.47
Last column: nearest neighbours and their distance in Å.
Element x y z (fractional)
Pm1 0.3750 0.6250 0.2500  4 Pr 3.22
Pm2 0.8750 0.1250 0.2500  4 Pr 3.22
Pm3 0.1250 0.2500 0.8750  4 Pr 3.22
Pm4 0.7500 0.3750 0.1250  4 Pr 3.22
Pm5 0.1250 0.8750 0.7500  4 Pr 3.22
Pm6 0.6250 0.2500 0.3750  4 Pr 3.22
Pm7 0.3750 0.7500 0.6250  4 Pr 3.22
Pm8 0.8750 0.7500 0.1250  4 Pr 3.22
Pm9 0.2500 0.6250 0.8750  4 Pr 3.22
Pm10 0.6250 0.3750 0.7500  4 Pr 3.22
Pm11 0.2500 0.1250 0.3750  4 Pr 3.22
Pm12 0.7500 0.8750 0.6250  4 Pr 3.22
Pr1 0.0698 0.4370 0.8416  2 Ho 3.19-3.31, 1 Pm 3.22, 1 Pr 3.54
Pr2 0.1328 0.7282 0.5698  2 Ho 3.19-3.31, 1 Pm 3.22, 1 Pr 3.54
Pr3 0.2718 0.8672 0.9302  2 Ho 3.19-3.31, 1 Pm 3.22, 1 Pr 3.54
Pr4 0.0630 0.1584 0.4302  2 Ho 3.19-3.31, 1 Pm 3.22, 1 Pr 3.54
Pr5 0.5954 0.7282 0.6584  2 Ho 3.19-3.31, 1 Pm 3.22, 1 Pr 3.54
Pr6 0.0954 0.9370 0.3672  2 Ho 3.19-3.31, 1 Pm 3.22, 1 Pr 3.54
Pr7 0.3416 0.5698 0.4370  2 Ho 3.19-3.31, 1 Pm 3.22, 1 Pr 3.54
Pr8 0.1584 0.0954 0.7282  2 Ho 3.19-3.31, 1 Pm 3.22, 1 Pr 3.54
Pr9 0.5630 0.6328 0.4046  2 Ho 3.19-3.31, 1 Pm 3.22, 1 Pr 3.54
Pr10 0.7282 0.1328 0.0698  2 Ho 3.19-3.31, 1 Pm 3.22, 1 Pr 3.54
Pr11 0.2282 0.6584 0.0954  2 Ho 3.19-3.31, 1 Pm 3.22, 1 Pr 3.54
Pr12 0.4370 0.3672 0.5954  2 Ho 3.19-3.31, 1 Pm 3.22, 1 Pr 3.54
Pr13 0.8672 0.5954 0.9370  2 Ho 3.19-3.31, 1 Pm 3.22, 1 Pr 3.54
Pr14 0.7282 0.5954 0.1584  2 Ho 3.19-3.31, 1 Pm 3.22, 1 Pr 3.54
Pr15 0.1584 0.0630 0.9302  2 Ho 3.19-3.31, 1 Pm 3.22, 1 Pr 3.54
Pr16 0.0630 0.9046 0.1328  2 Ho 3.19-3.31, 1 Pm 3.22, 1 Pr 3.54
Pr17 0.6584 0.2282 0.5954  2 Ho 3.19-3.31, 1 Pm 3.22, 1 Pr 3.54
Pr18 0.7718 0.3416 0.9046  2 Ho 3.19-3.31, 1 Pm 3.22, 1 Pr 3.54
Pr19 0.3416 0.7718 0.4046  2 Ho 3.19-3.31, 1 Pm 3.22, 1 Pr 3.54
Pr20 0.8672 0.2718 0.4302  2 Ho 3.19-3.31, 1 Pm 3.22, 1 Pr 3.54
Pr21 0.4046 0.1328 0.5630  2 Ho 3.19-3.31, 1 Pm 3.22, 1 Pr 3.54
Pr22 0.4370 0.0698 0.3416  2 Ho 3.19-3.31, 1 Pm 3.22, 1 Pr 3.54
Pr23 0.6328 0.5630 0.9046  2 Ho 3.19-3.31, 1 Pm 3.22, 1 Pr 3.54
Pr24 0.4302 0.6584 0.0630  2 Ho 3.19-3.31, 1 Pm 3.22, 1 Pr 3.54
Pr25 0.0698 0.6328 0.7282  2 Ho 3.19-3.31, 1 Pm 3.22, 1 Pr 3.54
Pr26 0.8416 0.9370 0.0698  2 Ho 3.19-3.31, 1 Pm 3.22, 1 Pr 3.54
Pr27 0.5954 0.8672 0.4370  2 Ho 3.19-3.31, 1 Pm 3.22, 1 Pr 3.54
Pr28 0.5698 0.2282 0.1328  2 Ho 3.19-3.31, 1 Pm 3.22, 1 Pr 3.54
Pr29 0.9046 0.8416 0.7718  2 Ho 3.19-3.31, 1 Pm 3.22, 1 Pr 3.54
Pr30 0.2282 0.5698 0.6328  2 Ho 3.19-3.31, 1 Pm 3.22, 1 Pr 3.54
Pr31 0.2718 0.4046 0.8416  2 Ho 3.19-3.31, 1 Pm 3.22, 1 Pr 3.54
Pr32 0.4046 0.2718 0.3416  2 Ho 3.19-3.31, 1 Pm 3.22, 1 Pr 3.54
Pr33 0.0954 0.1584 0.2282  2 Ho 3.19-3.31, 1 Pm 3.22, 1 Pr 3.54
Pr34 0.5698 0.3416 0.9370  2 Ho 3.19-3.31, 1 Pm 3.22, 1 Pr 3.54
Pr35 0.9302 0.5630 0.1584  2 Ho 3.19-3.31, 1 Pm 3.22, 1 Pr 3.54
Pr36 0.9370 0.8416 0.5698  2 Ho 3.19-3.31, 1 Pm 3.22, 1 Pr 3.54
Pr37 0.5630 0.9302 0.6584  2 Ho 3.19-3.31, 1 Pm 3.22, 1 Pr 3.54
Pr38 0.3672 0.4370 0.0954  2 Ho 3.19-3.31, 1 Pm 3.22, 1 Pr 3.54
Pr39 0.7718 0.4302 0.3672  2 Ho 3.19-3.31, 1 Pm 3.22, 1 Pr 3.54
Pr40 0.9046 0.0630 0.6328  2 Ho 3.19-3.31, 1 Pm 3.22, 1 Pr 3.54
Pr41 0.6328 0.0698 0.2282  2 Ho 3.19-3.31, 1 Pm 3.22, 1 Pr 3.54
Pr42 0.9370 0.0954 0.8672  2 Ho 3.19-3.31, 1 Pm 3.22, 1 Pr 3.54
Pr43 0.6584 0.4302 0.5630  2 Ho 3.19-3.31, 1 Pm 3.22, 1 Pr 3.54
Pr44 0.3672 0.9302 0.7718  2 Ho 3.19-3.31, 1 Pm 3.22, 1 Pr 3.54
Pr45 0.1328 0.4046 0.0630  2 Ho 3.19-3.31, 1 Pm 3.22, 1 Pr 3.54
Pr46 0.4302 0.7718 0.8672  2 Ho 3.19-3.31, 1 Pm 3.22, 1 Pr 3.54
Pr47 0.9302 0.3672 0.2718  2 Ho 3.19-3.31, 1 Pm 3.22, 1 Pr 3.54
Pr48 0.8416 0.9046 0.2718  2 Ho 3.19-3.31, 1 Pm 3.22, 1 Pr 3.54
Ho1 0.7500 0.1250 0.8750  4 Pr 3.31
Ho2 0.5000 0.5000 0.0000  6 Pr 3.19
Ho3 0.2500 0.3750 0.6250  4 Pr 3.31
Ho4 0.5000 0.0000 0.5000  6 Pr 3.19
Ho5 0.0000 0.5000 0.5000  6 Pr 3.19
Ho6 0.3750 0.1250 0.7500  4 Pr 3.31
Ho7 0.0000 0.0000 0.5000  6 Pr 3.19
Ho8 0.1250 0.3750 0.2500  4 Pr 3.31
Ho9 0.6250 0.7500 0.8750  4 Pr 3.31
Ho10 0.3750 0.2500 0.1250  4 Pr 3.31
Ho11 0.1250 0.7500 0.3750  4 Pr 3.31
Ho12 0.2500 0.8750 0.1250  4 Pr 3.31
Ho13 0.6250 0.8750 0.2500  4 Pr 3.31
Ho14 0.5000 0.5000 0.5000  6 Pr 3.19
Ho15 0.7500 0.6250 0.3750  4 Pr 3.31
Ho16 0.0000 0.5000 0.0000  6 Pr 3.19
Ho17 0.0000 0.0000 0.0000  6 Pr 3.19
Ho18 0.8750 0.6250 0.7500  4 Pr 3.31
Ho19 0.5000 0.0000 0.0000  6 Pr 3.19
Ho20 0.8750 0.2500 0.6250  4 Pr 3.31

Fermi-level density of states	171.3	states/eV/cell
calculated density	5.7	g cm⁻³
calculated volume	43.1	A^3/atom
calculated formation energy	19.611	eV per formula unit
total DFT energy (no corrections)	-3.744	eV per atom